## TaC3Cl (PBE)

Data for a relaxed TaC3Cl crystal.

The structure in POSCAR format:
```
TaC3Cl
1.0
4.282 0.000 0.000
0.000 4.282 0.000
0.000 0.000 4.282
C Cl Ta
3 1 1
Direct
0.000 0.500 0.000
0.000 0.000 0.500
0.500 0.000 0.000
0.500 0.500 0.500
0.000 0.000 0.000
```

Results
energy relative to the elements, uncorrected	2.178	eV per atom
total DFT energy (no corrections)	-6.10	eV/atom
D(E_F)	5.2	states/eV/cell
energy above the most stable polymorph in this dataset	0.00	eV per formula unit
SG	Pm-3m
magnetization	0.61	μB/f.u.